<one>
PBE TmB4Ru4, relaxed; space group = P4_2/nmc (137); density of states at the Fermi level = 14.75 states/eV/cell; density = 9.73 g/cm3
1.0
5.360 0.000 0.000
0.000 5.360 0.000
0.000 0.000 7.323
Tm B Ru
2 8 8
direct
0.250 0.750 0.250 Tm
0.750 0.250 0.750 Tm
0.078 0.250 0.100 B
0.250 0.078 0.600 B
0.250 0.422 0.600 B
0.422 0.250 0.100 B
0.578 0.750 0.900 B
0.750 0.578 0.400 B
0.750 0.922 0.400 B
0.922 0.750 0.900 B
0.005 0.750 0.610 Ru
0.250 0.505 0.890 Ru
0.250 0.995 0.890 Ru
0.495 0.750 0.610 Ru
0.505 0.250 0.390 Ru
0.750 0.005 0.110 Ru
0.750 0.495 0.110 Ru
0.995 0.250 0.390 Ru

<two>
PBE TmB4Ru4, relaxed; space group = P4_2/n (86); density of states at the Fermi level = 15.18 states/eV/cell; density = 9.18 g/cm3
1.0
7.404 0.000 0.000
0.000 7.404 0.000
0.000 0.000 4.070
Tm B Ru
2 8 8
direct
0.250 0.250 0.250 Tm
0.750 0.750 0.750 Tm
0.046 0.581 0.137 B
0.081 0.954 0.637 B
0.419 0.546 0.637 B
0.454 0.919 0.137 B
0.546 0.081 0.863 B
0.581 0.454 0.363 B
0.919 0.046 0.363 B
0.954 0.419 0.863 B
0.107 0.862 0.137 Ru
0.138 0.607 0.637 Ru
0.362 0.893 0.637 Ru
0.393 0.638 0.137 Ru
0.607 0.362 0.863 Ru
0.638 0.107 0.363 Ru
0.862 0.393 0.363 Ru
0.893 0.138 0.863 Ru

Need the numbers? Relative energies in kJ/mol of atoms: <one> 0.8; <two> 0.0.

<one>
PBE VBRu, relaxed; space group = C2/m (12); density of states at the Fermi level = 3.25 states/eV/cell; density = 8.21 g/cm3
1.0
5.265 -1.430 0.000
5.265 1.430 0.000
-0.754 0.000 4.374
V B Ru
2 2 2
direct
0.068 0.068 0.282 V
0.932 0.932 0.718 V
0.269 0.269 0.622 B
0.731 0.731 0.378 B
0.350 0.350 0.183 Ru
0.650 0.650 0.817 Ru

<two>
PBE VBRu, relaxed; space group = C2/m (12); density of states at the Fermi level = 2.75 states/eV/cell; density = 8.21 g/cm3
1.0
5.231 -1.465 0.000
5.231 1.465 0.000
-0.926 0.000 4.298
V B Ru
2 2 2
direct
0.149 0.149 0.338 V
0.851 0.851 0.662 V
0.233 0.233 0.870 B
0.767 0.767 0.130 B
0.419 0.419 0.209 Ru
0.581 0.581 0.791 Ru

<three>
PBE VBRu, relaxed; space group = Amm2 (38); density of states at the Fermi level = 5.13 states/eV/cell; density = 8.03 g/cm3
1.0
2.879 0.000 0.000
0.000 5.336 2.192
0.000 -5.336 2.192
V B Ru
2 2 2
direct
0.000 0.123 0.877 V
0.000 0.877 0.123 V
0.000 0.522 0.522 B
0.500 0.761 0.761 B
0.500 0.305 0.634 Ru
0.500 0.634 0.305 Ru

Need the numbers? Relative energies in kJ/mol of atoms: <one> 12.3; <two> 0.0; <three> 23.3.

<one>
PBE VB2Ru, relaxed; space group = R-3m (166); density of states at the Fermi level = 3.41 states/eV/cell; density = 7.08 g/cm3
1.0
1.544 0.891 4.932
-1.544 0.891 4.932
0.000 -1.783 4.932
V B Ru
1 2 1
direct
0.000 0.000 0.000 V
0.250 0.250 0.250 B
0.750 0.750 0.750 B
0.500 0.500 0.500 Ru

<two>
PBE VB2Ru, relaxed; space group = Fm-3m (225); density of states at the Fermi level = 3.57 states/eV/cell; density = 7.42 g/cm3
1.0
0.000 2.688 2.688
2.688 0.000 2.688
2.688 2.688 0.000
V B Ru
1 2 1
direct
0.000 0.000 0.000 V
0.250 0.250 0.250 B
0.750 0.750 0.750 B
0.500 0.500 0.500 Ru

Need the numbers? Relative energies in kJ/mol of atoms: <one> 0.0; <two> 15.7.

<one>
PBE VB2Ru, relaxed; space group = Pmc2_1 (26); density of states at the Fermi level = 6.30 states/eV/cell; density = 7.60 g/cm3
1.0
2.930 0.000 0.000
0.000 4.334 0.000
0.000 0.000 5.977
V B Ru
2 4 2
direct
0.000 0.132 0.000 V
0.000 0.868 0.500 V
0.000 0.353 0.653 B
0.000 0.647 0.153 B
0.500 0.144 0.714 B
0.500 0.856 0.214 B
0.500 0.357 0.360 Ru
0.500 0.643 0.860 Ru

<two>
PBE VB2Ru, relaxed; space group = I-42d (122); density of states at the Fermi level = 6.77 states/eV/cell; density = 5.55 g/cm3
1.0
-2.246 2.246 5.154
2.246 -2.246 5.154
2.246 2.246 -5.154
V B Ru
2 4 2
direct
0.000 0.000 0.000 V
0.750 0.250 0.500 V
0.149 0.625 0.024 B
0.375 0.399 0.524 B
0.601 0.125 0.976 B
0.875 0.851 0.476 B
0.250 0.750 0.500 Ru
0.500 0.500 0.000 Ru

Need the numbers? Relative energies in kJ/mol of atoms: <one> 0.0; <two> 110.1.

<one>
PBE B3RuW, relaxed; space group = Pm-3m (221); density of states at the Fermi level = 4.19 states/eV/cell; density = 7.91 g/cm3
1.0
4.054 0.000 0.000
0.000 4.054 0.000
0.000 0.000 4.054
B Ru W
3 1 1
direct
0.000 0.000 0.500 B
0.000 0.500 0.000 B
0.500 0.000 0.000 B
0.500 0.500 0.500 Ru
0.000 0.000 0.000 W

<two>
PBE B3RuW, relaxed; space group = Pm-3m (221); density of states at the Fermi level = 5.26 states/eV/cell; density = 8.77 g/cm3
1.0
3.917 0.000 0.000
0.000 3.917 0.000
0.000 0.000 3.917
B Ru W
3 1 1
direct
0.000 0.000 0.500 B
0.000 0.500 0.000 B
0.500 0.000 0.000 B
0.000 0.000 0.000 Ru
0.500 0.500 0.500 W

Need the numbers? Relative energies in kJ/mol of atoms: <one> 13.9; <two> 0.0.

<one>
PBE B2RuW, relaxed; space group = Pmc2_1 (26); density of states at the Fermi level = 4.59 states/eV/cell; density = 12.41 g/cm3
1.0
2.966 0.000 0.000
0.000 4.608 0.000
0.000 0.000 6.002
B Ru W
4 2 2
direct
0.000 0.133 0.000 B
0.000 0.867 0.500 B
0.500 0.333 0.057 B
0.500 0.667 0.557 B
0.500 0.123 0.711 Ru
0.500 0.877 0.211 Ru
0.000 0.383 0.352 W
0.000 0.617 0.852 W

<two>
PBE B2RuW, relaxed; space group = R-3m (166); density of states at the Fermi level = 1.97 states/eV/cell; density = 11.73 g/cm3
1.0
1.634 0.943 4.692
-1.634 0.943 4.692
0.000 -1.887 4.692
B Ru W
2 1 1
direct
0.244 0.244 0.244 B
0.756 0.756 0.756 B
0.500 0.500 0.500 Ru
0.000 0.000 0.000 W

Need the numbers? Relative energies in kJ/mol of atoms: <one> 0.0; <two> 23.4.